Record 1
A plane-wave DFT calculation with meta-GGA SCAN was carried out for WBrCl2 at its PBEsol-relaxed geometry.

Structure (POSCAR):
```
WBrCl2
1.0
3.018 0.000 0.000
0.000 4.841 0.000
0.000 0.000 12.096
W Br Cl
2 2 4
direct
0.000 0.000 0.000
0.500 0.500 0.500
0.000 0.000 0.500
0.500 0.500 0.000
0.000 0.500 0.343
0.000 0.500 0.657
0.500 0.000 0.157
0.500 0.000 0.843
```

Its total energy is -26.374 eV per atom. Its polymorph energy (0 for the lowest one) is 215.1 meV/atom. As for the uncorrected formation energy: -98 meV/atom. As for the crystal system: orthorhombic.


Record 2
A plane-wave DFT calculation with meta-GGA SCAN was carried out for LiMg2Cr at its PBEsol-relaxed geometry.

Structure (POSCAR):
```
LiMg2Cr
1.0
6.709 0.000 0.000
0.000 6.709 0.000
0.000 0.000 6.709
Li Mg Cr
4 8 4
direct
0.000 0.000 0.000
0.000 0.500 0.500
0.500 0.000 0.500
0.500 0.500 0.000
0.000 0.000 0.500
0.000 0.500 0.000
0.250 0.250 0.750
0.250 0.750 0.250
0.500 0.000 0.000
0.500 0.500 0.500
0.750 0.250 0.250
0.750 0.750 0.750
0.250 0.250 0.250
0.250 0.750 0.750
0.750 0.250 0.750
0.750 0.750 0.250
```

Its total energy is -7.560 eV per atom. As for the crystal system: cubic. For the calculated formation energy, the calculation gives 0.121 eV per atom.


Record 3
A plane-wave DFT calculation with meta-GGA SCAN was carried out for LiZn2Br at its PBEsol-relaxed geometry.

Structure (POSCAR):
```
LiZn2Br
1.0
3.602 0.000 0.000
0.000 3.602 0.000
0.000 0.000 6.269
Li Zn Br
1 2 1
direct
0.000 0.000 0.000
0.000 0.500 0.500
0.500 0.000 0.500
0.500 0.500 0.000
```

Its total energy is -12.688 eV per atom. Its polymorph energy (0 for the lowest one) is 0.0 meV/atom. As for the uncorrected formation energy: -468 meV/atom. As for the crystal system: tetragonal.


Record 4
A plane-wave DFT calculation with meta-GGA SCAN was carried out for KTaB3 at its PBEsol-relaxed geometry.

Structure (POSCAR):
```
KTaB3
1.0
4.409 0.000 0.000
0.000 4.409 0.000
0.000 0.000 4.409
K Ta B
1 1 3
direct
0.000 0.000 0.000
0.500 0.500 0.500
0.000 0.500 0.500
0.500 0.000 0.500
0.500 0.500 0.000
```

Its total energy is -18.293 eV per atom. As for the crystal system: cubic. For the calculated formation energy, the calculation gives 1.147 eV per atom.


Record 5
A plane-wave DFT calculation with meta-GGA SCAN was carried out for YRhO3 at its PBEsol-relaxed geometry.

Structure (POSCAR):
```
YRhO3
1.0
5.748 0.000 0.000
0.000 7.517 0.000
0.000 0.000 5.167
Y Rh O
4 4 12
direct
0.086 0.250 0.033
0.414 0.750 0.533
0.586 0.250 0.467
0.914 0.750 0.967
0.000 0.000 0.500
0.000 0.500 0.500
0.500 0.000 0.000
0.500 0.500 0.000
0.052 0.750 0.366
0.190 0.561 0.825
0.190 0.939 0.825
0.310 0.061 0.325
0.310 0.439 0.325
0.448 0.250 0.866
0.552 0.750 0.134
0.690 0.561 0.675
0.690 0.939 0.675
0.810 0.061 0.175
0.810 0.439 0.175
0.948 0.250 0.634
```

Its total energy is -18.582 eV per atom. As for the uncorrected formation energy: -2521 meV/atom. As for the crystal system: orthorhombic.


Record 6
A plane-wave DFT calculation with meta-GGA SCAN was carried out for LiSi2Ag at its PBEsol-relaxed geometry.

Structure (POSCAR):
```
LiSi2Ag
1.0
7.457 0.000 0.000
0.000 7.457 0.000
0.000 0.000 4.891
Li Si Ag
4 8 4
direct
0.000 0.000 0.000
0.000 0.500 0.250
0.500 0.000 0.750
0.500 0.500 0.500
0.213 0.750 0.625
0.250 0.213 0.375
0.250 0.287 0.875
0.287 0.750 0.125
0.713 0.250 0.125
0.750 0.713 0.875
0.750 0.787 0.375
0.787 0.250 0.625
0.000 0.000 0.500
0.000 0.500 0.750
0.500 0.000 0.250
0.500 0.500 0.000
```

Its total energy is -13.088 eV per atom. Its polymorph energy (0 for the lowest one) is 213.1 meV/atom. As for the uncorrected formation energy: 359 meV/atom. As for the crystal system: tetragonal.


Results for magnetic moment: 1.7; 4.4; 0.0; 0.0; 0.0; 0.0 (in μB per formula unit, following the order of the records).